#i
Computed, not measured: a relaxed structure of La2Tb5Dy4 at the GGA-PBE level of DFT.

a b c (Å): 8.949 8.949 6.753
angles (deg): 99.80 99.80 44.00
Fractional coordinates of all 11 atoms:
La: 0.200 0.200 0.298
La: 0.800 0.800 0.702
Tb: 0.000 0.000 0.500
Tb: 0.175 0.649 0.094
Tb: 0.351 0.825 0.906
Tb: 0.649 0.175 0.094
Tb: 0.825 0.351 0.906
Dy: 0.244 0.244 0.806
Dy: 0.413 0.413 0.594
Dy: 0.587 0.587 0.406
Dy: 0.756 0.756 0.194

Values from the calculation:
Space group: C2/m, No. 12
Calculated volume (Å³/f.u.): 369

---

#ii
Computed, not measured: a relaxed structure of La2Tb5Dy4 at the GGA-PBE level of DFT.

a b c (Å): 12.150 12.150 8.815
angles (deg): 96.77 96.77 16.33
Fractional coordinates of all 11 atoms:
La: 0.092 0.092 0.244
La: 0.908 0.908 0.756
Tb: 0.141 0.141 0.625
Tb: 0.234 0.234 0.325
Tb: 0.500 0.500 0.500
Tb: 0.766 0.766 0.675
Tb: 0.859 0.859 0.375
Dy: 0.047 0.047 0.862
Dy: 0.321 0.321 0.028
Dy: 0.679 0.679 0.972
Dy: 0.953 0.953 0.138

Values from the calculation:
Space group: C2/m, No. 12
Calculated volume (Å³/f.u.): 363

---

Most stable: #ii. Least stable: #i.